# 1
DFT (GGA-PBE) results for a geometry-optimized Zn2TcPb structure.

D(E_F) = 2.7 states/eV/f.u.
space group = P4/mmm
total magnetization = 0.407 μB/atom
energy of formation = 0.339 eV per atom
electronic total energy = -3.82 eV per atom

Cell lengths 3.0297, 3.0297, 8.4332 Å; angles 90.00, 90.00, 90.00 degrees
Atoms (fractional coordinates):
1 Zn 0.0000 0.0000 0.1925
2 Zn 0.0000 0.0000 0.8075
3 Tc 0.5000 0.5000 0.0000
4 Pb 0.5000 0.5000 0.5000

# 2
DFT (GGA-PBE) results for a geometry-optimized Zn2TcPb structure.

D(E_F) = 2.9 states/eV/f.u.
space group = P4/mmm
total magnetization = 0.122 μB/atom
energy of formation = 0.448 eV per atom
electronic total energy = -3.71 eV per atom

Cell lengths 4.1630, 4.1630, 3.9545 Å; angles 90.00, 90.00, 90.00 degrees
Atoms (fractional coordinates):
1 Zn 0.0000 0.5000 0.0000
2 Zn 0.5000 0.0000 0.0000
3 Tc 0.0000 0.0000 0.5000
4 Pb 0.5000 0.5000 0.5000

Question: Among the records above, which one has the lowest D(E_F)?
Answer: number 1

Please write out number 2 again, unchanged.
DFT (GGA-PBE) results for a geometry-optimized Zn2TcPb structure.

D(E_F) = 2.9 states/eV/f.u.
space group = P4/mmm
total magnetization = 0.122 μB/atom
energy of formation = 0.448 eV per atom
electronic total energy = -3.71 eV per atom

Cell lengths 4.1630, 4.1630, 3.9545 Å; angles 90.00, 90.00, 90.00 degrees
Atoms (fractional coordinates):
1 Zn 0.0000 0.5000 0.0000
2 Zn 0.5000 0.0000 0.0000
3 Tc 0.0000 0.0000 0.5000
4 Pb 0.5000 0.5000 0.5000

What did the second record say?
DFT (GGA-PBE) results for a geometry-optimized Zn2TcPb structure.

D(E_F) = 2.9 states/eV/f.u.
space group = P4/mmm
total magnetization = 0.122 μB/atom
energy of formation = 0.448 eV per atom
electronic total energy = -3.71 eV per atom

Cell lengths 4.1630, 4.1630, 3.9545 Å; angles 90.00, 90.00, 90.00 degrees
Atoms (fractional coordinates):
1 Zn 0.0000 0.5000 0.0000
2 Zn 0.5000 0.0000 0.0000
3 Tc 0.0000 0.0000 0.5000
4 Pb 0.5000 0.5000 0.5000

Question: The lowest D(E_F) belongs to which entry?
Answer: number 1